Arrangement i

4
Lattice="3.7847 0.0000 0.0000 0.0000 3.7847 0.0000 0.0000 0.0000 11.0728" Properties=species:S:1:pos:R:3 comment="BaPm2Pr, optimized geometry, DFT PBE-GGA" rho_g_cm3=5.95 magmom_total_mub_per_fu=0.00 pbc="T T T"
Ba 0.0000 0.0000 0.0000
Pm 1.8924 1.8924 3.0804
Pm 1.8924 1.8924 7.9924
Pr 0.0000 0.0000 5.5364



Arrangement ii

4
Lattice="1.8562 1.0717 13.2083 -1.8562 1.0717 13.2083 0.0000 -2.1433 13.2083" Properties=species:S:1:pos:R:3 comment="BaPm2Pr, optimized geometry, DFT PBE-GGA" rho_g_cm3=5.99 magmom_total_mub_per_fu=0.00 pbc="T T T"
Ba 0.0000 0.0000 0.0000
Pm 0.0000 0.0000 3.6677
Pm 0.0000 0.0000 35.9572
Pr 0.0000 0.0000 19.8124



Arrangement iii

4
Lattice="5.3947 0.0000 0.0000 0.0000 5.3947 0.0000 0.0000 0.0000 5.3512" Properties=species:S:1:pos:R:3 comment="BaPm2Pr, optimized geometry, DFT PBE-GGA" rho_g_cm3=6.06 magmom_total_mub_per_fu=0.00 pbc="T T T"
Ba 0.0000 0.0000 0.0000
Pm 0.0000 2.6973 2.6756
Pm 2.6973 0.0000 2.6756
Pr 2.6973 2.6973 0.0000



Of them, arrangement i has the highest stability.



Arrangement i

3
Lattice="4.2609 0.0000 0.0000 -2.1305 3.6901 0.0000 0.0000 0.0000 6.9687" Properties=species:S:1:pos:R:3 comment="BaPmRh, optimized geometry, DFT PBE-GGA" rho_g_cm3=5.84 magmom_total_mub_per_fu=0.00 pbc="T T T"
Ba 0.0000 0.0000 0.0000
Pm 2.1305 1.2300 3.2608
Rh 0.0000 2.4600 1.9491



Arrangement ii

3
Lattice="-1.8419 1.8419 7.1302 1.8419 -1.8419 7.1302 1.8419 1.8419 -7.1302" Properties=species:S:1:pos:R:3 comment="BaPmRh, optimized geometry, DFT PBE-GGA" rho_g_cm3=6.61 magmom_total_mub_per_fu=0.00 pbc="T T T"
Ba 0.0000 0.0000 0.0000
Pm 0.0000 0.0000 3.5447
Rh 0.0000 0.0000 9.3496



Arrangement iii

6
Lattice="4.6453 0.0000 0.0000 -2.3227 4.0230 0.0000 0.0000 0.0000 12.4632" Properties=species:S:1:pos:R:3 comment="BaPmRh, optimized geometry, DFT PBE-GGA" rho_g_cm3=5.49 magmom_total_mub_per_fu=0.00 pbc="T T T"
Ba 0.0000 0.0000 2.3083
Ba 0.0000 0.0000 10.1550
Pm 0.0000 2.6820 7.3347
Pm 2.3227 1.3410 5.1285
Rh 0.0000 2.6820 4.2282
Rh 2.3227 1.3410 8.2350



Of them, arrangement iii has the highest stability.



Arrangement i

6
Lattice="-2.1294 2.6738 8.4253 2.1294 -2.6738 8.4253 2.1294 2.6738 -8.4253" Properties=species:S:1:pos:R:3 comment="Ba2PmS3, optimized geometry, DFT PBE-GGA" rho_g_cm3=4.46 magmom_total_mub_per_fu=0.00 pbc="T T T"
Ba 0.0000 0.0000 2.5322
Ba 0.0000 0.0000 14.3184
Pm 0.0000 0.0000 8.4253
S 2.1294 0.0000 0.0000
S 0.0000 0.0000 5.6573
S 0.0000 0.0000 11.1933



Arrangement ii

12
Lattice="3.8250 -6.5311 0.0000 3.8250 6.5311 0.0000 -2.4949 0.0000 7.0529" Properties=species:S:1:pos:R:3 comment="Ba2PmS3, optimized geometry, DFT PBE-GGA" rho_g_cm3=4.86 magmom_total_mub_per_fu=0.00 pbc="T T T"
Ba 1.9539 5.4447 5.2897
Ba 3.2013 3.3367 1.7632
Ba 1.9539 -3.3367 5.2897
Ba 3.2013 -5.4447 1.7632
Pm 1.9539 1.0771 5.2897
Pm 3.2013 -1.0771 1.7632
S 0.6651 3.2656 3.5264
S 2.1508 0.9631 0.0222
S 0.9034 -0.9631 3.5486
S 1.9125 -3.2656 0.0000
S 4.2518 0.9631 3.5043
S 3.0044 -0.9631 7.0307



Of them, arrangement ii has the highest stability.



Arrangement i

4
Lattice="1.8062 1.0428 12.7407 -1.8062 1.0428 12.7407 0.0000 -2.0856 12.7407" Properties=species:S:1:pos:R:3 comment="BaPm2Sc, optimized geometry, DFT PBE-GGA" rho_g_cm3=5.45 magmom_total_mub_per_fu=0.00 pbc="T T T"
Ba 0.0000 0.0000 0.0000
Pm 0.0000 0.0000 3.6832
Pm 0.0000 0.0000 34.5389
Sc 0.0000 0.0000 19.1111



Arrangement ii

4
Lattice="3.9443 0.0000 0.0000 0.0000 3.9443 0.0000 0.0000 0.0000 9.6211" Properties=species:S:1:pos:R:3 comment="BaPm2Sc, optimized geometry, DFT PBE-GGA" rho_g_cm3=5.24 magmom_total_mub_per_fu=0.00 pbc="T T T"
Ba 0.0000 0.0000 0.0000
Pm 1.9722 1.9722 2.9732
Pm 1.9722 1.9722 6.6479
Sc 0.0000 0.0000 4.8106



Of them, arrangement ii has the highest stability.



Arrangement i

6
Lattice="-2.1846 2.7812 8.7564 2.1846 -2.7812 8.7564 2.1846 2.7812 -8.7564" Properties=species:S:1:pos:R:3 comment="Ba2PmSe3, optimized geometry, DFT PBE-GGA" rho_g_cm3=5.12 magmom_total_mub_per_fu=0.15 pbc="T T T"
Ba 0.0000 0.0000 2.6225
Ba 0.0000 0.0000 14.8903
Pm 0.0000 0.0000 8.7564
Se 2.1846 0.0000 0.0000
Se 0.0000 0.0000 5.8674
Se 0.0000 0.0000 11.6455



Arrangement ii

24
Lattice="0.0000 6.3962 13.4850 4.5393 0.0000 13.4850 4.5393 6.3962 0.0000" Properties=species:S:1:pos:R:3 comment="Ba2PmSe3, optimized geometry, DFT PBE-GGA" rho_g_cm3=5.57 magmom_total_mub_per_fu=0.00 pbc="T T T"
Ba 1.1348 1.5991 1.1851
Ba 3.4044 4.7972 3.3037
Ba 1.1348 1.5991 5.5574
Ba 5.6741 7.9953 10.0461
Ba 3.4044 4.7972 16.9238
Ba 7.9437 11.1934 21.4125
Ba 5.6741 7.9953 23.6663
Ba 7.9437 11.1934 25.7848
Pm 3.4044 4.7972 7.8581
Pm 3.4044 4.7972 12.3694
Pm 5.6741 7.9953 14.6005
Pm 5.6741 7.9953 19.1118
Se 3.5196 1.7552 7.7433
Se 5.4293 4.7972 10.1137
Se 3.2893 1.7552 12.4841
Se 5.5590 4.9533 14.4858
Se 7.6989 7.9953 16.8562
Se 5.7892 4.9533 19.2266
Se 3.2893 7.8391 7.7433
Se 1.3796 4.7972 10.1137
Se 3.5196 7.8391 12.4841
Se 5.7892 11.0372 14.4858
Se 3.6492 7.9953 16.8562
Se 5.5590 11.0372 19.2266



Of them, arrangement ii has the highest stability.



Arrangement i

4
Lattice="2.1212 1.2247 10.1029 -2.1212 1.2247 10.1029 0.0000 -2.4493 10.1029" Properties=species:S:1:pos:R:3 comment="BaPm2Si, optimized geometry, DFT PBE-GGA" rho_g_cm3=4.80 magmom_total_mub_per_fu=0.91 pbc="T T T"
Ba 0.0000 0.0000 0.0000
Pm 0.0000 0.0000 6.6165
Pm 0.0000 0.0000 23.6921
Si 0.0000 0.0000 15.1543



Arrangement ii

4
Lattice="3.8056 0.0000 0.0000 0.0000 3.8056 0.0000 0.0000 0.0000 9.5869" Properties=species:S:1:pos:R:3 comment="BaPm2Si, optimized geometry, DFT PBE-GGA" rho_g_cm3=5.45 magmom_total_mub_per_fu=0.00 pbc="T T T"
Ba 0.0000 0.0000 0.0000
Pm 1.9028 1.9028 3.2526
Pm 1.9028 1.9028 6.3343
Si 0.0000 0.0000 4.7935



Of them, arrangement i has the highest stability.



Arrangement i

4
Lattice="1.8418 1.0634 13.1001 -1.8418 1.0634 13.1001 0.0000 -2.1267 13.1001" Properties=species:S:1:pos:R:3 comment="BaPmSm2, optimized geometry, DFT PBE-GGA" rho_g_cm3=6.29 magmom_total_mub_per_fu=0.00 pbc="T T T"
Ba 0.0000 0.0000 0.0000
Pm 0.0000 0.0000 19.6502
Sm 0.0000 0.0000 3.6545
Sm 0.0000 0.0000 35.6458



Arrangement ii

4
Lattice="3.7606 0.0000 0.0000 0.0000 3.7606 0.0000 0.0000 0.0000 10.9775" Properties=species:S:1:pos:R:3 comment="BaPmSm2, optimized geometry, DFT PBE-GGA" rho_g_cm3=6.24 magmom_total_mub_per_fu=0.00 pbc="T T T"
Ba 0.0000 0.0000 0.0000
Pm 0.0000 0.0000 5.4887
Sm 1.8803 1.8803 3.0741
Sm 1.8803 1.8803 7.9034



Of them, arrangement ii has the highest stability.



Arrangement i

4
Lattice="5.1759 0.0000 0.0000 0.0000 5.1759 0.0000 0.0000 0.0000 4.9517" Properties=species:S:1:pos:R:3 comment="BaPm2Sn, optimized geometry, DFT PBE-GGA" rho_g_cm3=6.84 magmom_total_mub_per_fu=0.00 pbc="T T T"
Ba 0.0000 0.0000 0.0000
Pm 0.0000 2.5879 2.4758
Pm 2.5879 0.0000 2.4758
Sn 2.5879 2.5879 0.0000



Arrangement ii

4
Lattice="0.0000 4.0110 4.0110 4.0110 0.0000 4.0110 4.0110 4.0110 0.0000" Properties=species:S:1:pos:R:3 comment="BaPm2Sn, optimized geometry, DFT PBE-GGA" rho_g_cm3=7.03 magmom_total_mub_per_fu=0.00 pbc="T T T"
Ba 0.0000 0.0000 0.0000
Pm 2.0055 2.0055 2.0055
Pm 6.0165 6.0165 6.0165
Sn 4.0110 4.0110 4.0110



Of them, arrangement i has the highest stability.